Entry 1:
VASP calculation (PBE-GGA) on a relaxed NaSrAu3 crystal.

a b c (Å): 5.1827 5.1827 5.1827
angles (deg): 90.00 90.00 90.00
Space group Pm-3m (No. 221)
Asymmetric unit:
Na  0.0000  0.0000  0.0000 [1 per cell]
Sr  0.5000  0.5000  0.5000 [1 per cell]
Au  0.0000  0.0000  0.5000 [3 per cell]

The calculation puts the total moment at 0.00 Bohr magnetons per cell. The density is 8.37 g/cm3. As for the energy of formation: -102.8 meV per atom.



Entry 2:
VASP calculation (PBE-GGA) on a relaxed Na3SrAu2 crystal.

a b c (Å): 18.6325 4.2438 10.5101
angles (deg): 90.00 123.68 90.00
Space group C2/m (No. 12)
Asymmetric unit:
Na  0.0116  0.0000  0.1632 [4 per cell]
Na  0.1624  0.5000  0.9767 [4 per cell]
Na  0.1721  0.5000  0.3772 [4 per cell]
Sr  0.1292  0.0000  0.6351 [4 per cell]
Au  0.0021  0.5000  0.3638 [4 per cell]
Au  0.2136  0.0000  0.2219 [4 per cell]

The calculation puts the total moment at 0.00 Bohr magnetons per cell. The density is 5.29 g/cm3. As for the energy of formation: -372.0 meV per atom.



Entry 3:
VASP calculation (PBE-GGA) on a relaxed Na2SrTlAu crystal.

a b c (Å): 6.5295 6.5295 6.2180
angles (deg): 90.00 90.00 90.00
Space group P4/mmm (No. 123)
Asymmetric unit:
Na  0.0000  0.5000  0.0000 [2 per cell]
Sr  0.0000  0.0000  0.0000 [1 per cell]
Tl  0.0000  0.0000  0.5000 [1 per cell]
Au  0.5000  0.5000  0.5000 [1 per cell]

The calculation puts the total moment at 0.00 Bohr magnetons per cell. The density is 3.35 g/cm3. As for the energy of formation: 781.3 meV per atom.



Entry 4:
VASP calculation (PBE-GGA) on a relaxed NaSrTlAu crystal.

a b c (Å): 7.6659 7.6659 7.6659
angles (deg): 90.00 90.00 90.00
Space group F-43m (No. 216)
Asymmetric unit:
Na  0.0000  0.0000  0.0000 [4 per cell]
Sr  0.0000  0.0000  0.5000 [4 per cell]
Tl  0.2500  0.2500  0.2500 [4 per cell]
Au  0.2500  0.2500  0.7500 [4 per cell]

The calculation puts the total moment at 0.00 Bohr magnetons per cell. The density is 7.55 g/cm3. As for the energy of formation: -322.9 meV per atom.



Entry 5:
VASP calculation (PBE-GGA) on a relaxed NaSr2YAu crystal.

a b c (Å): 6.1799 6.1799 5.6092
angles (deg): 90.00 90.00 90.00
Space group P4/mmm (No. 123)
Asymmetric unit:
Na  0.0000  0.0000  0.0000 [1 per cell]
Sr  0.0000  0.5000  0.5000 [2 per cell]
Y  0.5000  0.5000  0.0000 [1 per cell]
Au  0.5000  0.5000  0.5000 [1 per cell]

The calculation puts the total moment at 0.00 Bohr magnetons per cell. The density is 3.75 g/cm3. As for the energy of formation: -188.2 meV per atom.



Entry 6:
VASP calculation (PBE-GGA) on a relaxed NaSrZrAu2 crystal.

a b c (Å): 5.3238 5.3238 5.9110
angles (deg): 90.00 90.00 90.00
Space group P4/mmm (No. 123)
Asymmetric unit:
Na  0.0000  0.0000  0.0000 [1 per cell]
Sr  0.5000  0.5000  0.0000 [1 per cell]
Zr  0.5000  0.5000  0.5000 [1 per cell]
Au  0.0000  0.5000  0.5000 [2 per cell]

The calculation puts the total moment at 0.00 Bohr magnetons per cell. The density is 5.91 g/cm3. As for the energy of formation: 355.4 meV per atom.



VASP energy values, unit eV per cell, following the record order: -13.3, -57.7, -6.1, -39.7, -15.4, -16.3.